First-principles (PBE) data for a geometry-optimized TlV2ZnSb structure, as listed in the Alexandria database.

The structure belongs to space group P4/mmm (No. 123); the cell edges are 5.265, 5.265 and 5.504 Å and the angles 90.00°, 90.00° and 90.00°. The inequivalent atoms are Tl at (0.000, 0.000, 0.000), V at (0.000, 0.500, 0.000), Zn at (0.500, 0.500, 0.500) and Sb at (0.000, 0.000, 0.500).

The total energy comes out at -0.1346 hartree per atom. The density is 5.37 g cm⁻³.



First-principles (PBE) data for a geometry-optimized CaErGaHg structure, as listed in the Alexandria database.

The structure belongs to space group P4mm (No. 99); the cell edges are 3.598, 3.598 and 7.633 Å and the angles 90.00°, 90.00° and 90.00°. The inequivalent atoms are Ca at (0.000, 0.000, 0.000), Er at (0.000, 0.000, 0.478), Ga at (0.500, 0.500, 0.253) and Hg at (0.500, 0.500, 0.730).

The total energy comes out at -0.1100 hartree per atom. The value obtained for the offset from the most stable computed form is 0 meV per atom. The density is 8.03 g cm⁻³. Its energy of formation is -520 meV/atom.



First-principles (PBE) data for a geometry-optimized ThBiAs structure, as listed in the Alexandria database.

The structure belongs to space group I4/mmm (No. 139); the cell edges are 4.341, 4.341 and 18.081 Å and the angles 90.00°, 90.00° and 90.00°. The inequivalent atoms are Th at (0.000, 0.000, 0.157), Bi at (0.000, 0.500, 0.000) and As at (0.000, 0.000, 0.320).

The total energy comes out at -0.2264 hartree per atom. The density is 10.06 g cm⁻³. Its energy of formation is -843 meV/atom.



First-principles (PBE) data for a geometry-optimized CdGa2HgIr structure, as listed in the Alexandria database.

The structure belongs to space group P4/mmm (No. 123); the cell edges are 4.810, 4.810 and 5.360 Å and the angles 90.00°, 90.00° and 90.00°. The inequivalent atoms are Cd at (0.000, 0.000, 0.000), Ga at (0.000, 0.500, 0.500), Hg at (0.500, 0.500, 0.000) and Ir at (0.000, 0.000, 0.500).

The total energy comes out at -0.1235 hartree per atom. The density is 8.63 g cm⁻³. Its energy of formation is -134 meV/atom.



First-principles (PBE) data for a geometry-optimized Zr2TiPtN structure, as listed in the Alexandria database.

The structure belongs to space group P4/mmm (No. 123); the cell edges are 4.464, 4.464 and 4.080 Å and the angles 90.00°, 90.00° and 90.00°. The inequivalent atoms are Zr at (0.000, 0.500, 0.000), Ti at (0.000, 0.000, 0.500), Pt at (0.500, 0.500, 0.500) and N at (0.000, 0.000, 0.000).

The total energy comes out at -0.3312 hartree per atom. The density is 8.98 g cm⁻³.



First-principles (PBE) data for a geometry-optimized SrLiNdI6 structure, as listed in the Alexandria database.

The structure belongs to space group P-31c (No. 163); the cell edges are 7.8299, 7.8299 and 14.5019 Å and the angles 90.00°, 90.00° and 120.00°. The inequivalent atoms are Sr at (0.0000, 0.0000, 0.0000), Li at (0.3333, 0.6667, 0.2500), Nd at (0.3333, 0.6667, 0.7500) and I at (0.0095, 0.3565, 0.1292).

The total energy comes out at -0.1247 hartree per atom. The density is 4.31 g cm⁻³.



First-principles (PBE) data for a geometry-optimized Cs2HgSb structure, as listed in the Alexandria database.

The structure belongs to space group Fm-3m (No. 225); the cell edges are 9.169, 9.169 and 9.169 Å and the angles 90.00°, 90.00° and 90.00°. The inequivalent atoms are Cs at (0.250, 0.250, 0.250), Hg at (0.000, 0.000, 0.000) and Sb at (0.000, 0.000, 0.500).

The total energy comes out at -0.0648 hartree per atom. The value obtained for the offset from the most stable computed form is 128 meV per atom. The density is 5.07 g cm⁻³.



First-principles (PBE) data for a geometry-optimized Li4HfU3Te8 structure, as listed in the Alexandria database.

The structure belongs to space group R-3m (No. 166, hexagonal axes); the cell edges are 8.4201, 8.4201 and 21.6546 Å and the angles 90.00°, 90.00° and 120.00°. The inequivalent atoms are Li at (0.0000, 0.0000, 0.0000), Li at (0.0000, 0.5000, 0.0000), Hf at (0.0000, 0.0000, 0.5000), U at (0.0000, 0.5000, 0.5000), Te at (0.0000, 0.0000, 0.2555) and Te at (0.0156, 0.5078, 0.2518).

The total energy comes out at -0.2041 hartree per atom. The density is 7.27 g cm⁻³.



Calculated N(E_F), 6.68 2.29 6.94 1.63 3.86 0.00 17.77 45.89 states/eV per cell (same order as the records).